1.
This record from OQMD via LeMat-Bulk describes a geometry-optimized TmReBi structure. The functional is PBE.

- Space group: No. 216
- Spin magnetization: 0.0 μB per cell
- Total energy: -0.435 Ry per atom

Cell: 4.8225 4.8225 4.8225 Å, 60.00 60.00 60.00°
With the nearest neighbours (Å) after each atom.
Fractional coordinates of all 3 atoms:
Tm 0.0000 0.0000 0.0000  4 Re 2.95, 4 Bi 2.95
Re 0.2500 0.2500 0.2500  4 Tm 2.95
Bi 0.7500 0.7500 0.7500  4 Tm 2.95

=====

2.
This record from OQMD via LeMat-Bulk describes a geometry-optimized UReBi structure. The functional is PBE.

- Space group: No. 216
- Spin magnetization: 0.4 μB per cell
- Total energy: -0.587 Ry per atom

Cell: 4.8230 4.8230 4.8230 Å, 60.00 60.00 60.00°
With the nearest neighbours (Å) after each atom.
Fractional coordinates of all 3 atoms:
U 0.0000 0.0000 0.0000  4 Re 2.95, 4 Bi 2.95
Re 0.7500 0.7500 0.7500  4 U 2.95
Bi 0.2500 0.2500 0.2500  4 U 2.95

=====

3.
This record from OQMD via LeMat-Bulk describes a geometry-optimized ReBiW structure. The functional is PBE.

- Space group: No. 216
- Energy above the lowest structure with this stoichiometry: 0 meV per atom
- Spin magnetization: 0.0 μB per cell
- Total energy: -0.663 Ry per atom

Cell: 4.4589 4.4589 4.4589 Å, 60.00 60.00 60.00°
With the nearest neighbours (Å) after each atom.
Fractional coordinates of all 3 atoms:
Re 0.0000 0.0000 0.0000  4 Bi 2.73, 4 W 2.73
Bi 0.7500 0.7500 0.7500  4 Re 2.73
W 0.2500 0.2500 0.2500  4 Re 2.73

=====

4.
This record from OQMD via LeMat-Bulk describes a geometry-optimized YReBi structure. The functional is PBE.

- Space group: No. 216
- Energy above the lowest structure with this stoichiometry: 0 meV per atom
- Spin magnetization: 0.0 μB per cell
- Total energy: -0.529 Ry per atom

Cell: 4.7657 4.7657 4.7657 Å, 60.00 60.00 60.00°
With the nearest neighbours (Å) after each atom.
Fractional coordinates of all 3 atoms:
Y 0.0000 0.0000 0.0000  4 Re 2.92
Re 0.7500 0.7500 0.7500  4 Bi 2.92, 4 Y 2.92
Bi 0.5000 0.5000 0.5000  4 Re 2.92

=====

5.
This record from OQMD via LeMat-Bulk describes a geometry-optimized YRe2Bi structure. The functional is PBE.

- Space group: No. 216
- Spin magnetization: 0.5 μB per cell
- Total energy: -0.594 Ry per atom

Cell: 4.8383 4.8383 4.8383 Å, 60.00 60.00 60.00°
With the nearest neighbours (Å) after each atom.
Fractional coordinates of all 4 atoms:
Y 0.0000 0.0000 0.0000  4 Re 2.96, 4 Bi 2.96
Re 0.2500 0.2500 0.2500  4 Re 2.96, 4 Y 2.96
Re 0.5000 0.5000 0.5000  4 Bi 2.96, 4 Re 2.96
Bi 0.7500 0.7500 0.7500  4 Re 2.96, 4 Y 2.96

=====

6.
This record from OQMD via LeMat-Bulk describes a geometry-optimized ZnReBi structure. The functional is PBE.

- Space group: No. 216
- Spin magnetization: 0.0 μB per cell
- Total energy: -0.371 Ry per atom

Cell: 4.5076 4.5076 4.5076 Å, 60.00 60.00 60.00°
With the nearest neighbours (Å) after each atom.
Fractional coordinates of all 3 atoms:
Zn 0.0000 0.0000 0.0000  4 Re 2.76
Re 0.7500 0.7500 0.7500  4 Bi 2.76, 4 Zn 2.76
Bi 0.5000 0.5000 0.5000  4 Re 2.76

=====

Copy entry 3 word for word.
This record from OQMD via LeMat-Bulk describes a geometry-optimized ReBiW structure. The functional is PBE.

- Space group: No. 216
- Energy above the lowest structure with this stoichiometry: 0 meV per atom
- Spin magnetization: 0.0 μB per cell
- Total energy: -0.663 Ry per atom

Cell: 4.4589 4.4589 4.4589 Å, 60.00 60.00 60.00°
With the nearest neighbours (Å) after each atom.
Fractional coordinates of all 3 atoms:
Re 0.0000 0.0000 0.0000  4 Bi 2.73, 4 W 2.73
Bi 0.7500 0.7500 0.7500  4 Re 2.73
W 0.2500 0.2500 0.2500  4 Re 2.73